1.
Material: Pr3NpTl4Te8
Method: DFT, PBE-GGA
State: relaxed

Unit cell a=9.1563 b=9.7235 c=9.1560 alpha=118.09 beta=120.00 gamma=90.00
Closest atoms and distances in Å follow each position.
Positions (direct):
Tl 0.0000 0.0000 0.5000  6 Te 3.48
Te 0.7627 0.2805 0.0178  1 Np 3.16, 2 Pr 3.21, 3 Tl 3.48-3.53
Tl 0.0000 0.0000 0.0000  6 Te 3.48
Tl 0.5000 0.0000 0.0000  6 Te 3.53
Te 0.2373 0.7195 0.9822  1 Np 3.16, 2 Pr 3.21, 3 Tl 3.48-3.53
Pr 0.5000 0.5000 0.5000  6 Te 3.21
Pr 0.5000 0.5000 0.0000  6 Te 3.21
Te 0.7449 0.7195 0.9822  1 Np 3.16, 2 Pr 3.21, 3 Tl 3.48-3.53
Np 0.0000 0.5000 0.0000  6 Te 3.16
Te 0.2590 0.2769 0.5179  3 Pr 3.21, 3 Tl 3.48
Te 0.7410 0.7231 0.4821  3 Pr 3.21, 3 Tl 3.48
Tl 0.5000 0.0000 0.5000  6 Te 3.48
Te 0.2551 0.2805 0.0178  1 Np 3.16, 2 Pr 3.21, 3 Tl 3.48-3.53
Pr 0.0000 0.5000 0.5000  6 Te 3.21
Te 0.7627 0.2804 0.5253  1 Np 3.16, 2 Pr 3.21, 3 Tl 3.48-3.53
Te 0.2373 0.7196 0.4747  1 Np 3.16, 2 Pr 3.21, 3 Tl 3.48-3.53

raw formation energy: -0.944 eV/atom

2.
Material: TaCr2Hg
Method: DFT, PBE-GGA
State: relaxed

Unit cell a=2.9704 b=2.9704 c=7.1998 alpha=90.00 beta=90.00 gamma=90.00
Closest atoms and distances in Å follow each position.
Positions (direct):
Ta 0.5000 0.5000 0.7863  5 Cr 2.77-2.98, 4 Ta 2.97, 4 Hg 3.06
Cr 0.0000 0.0000 0.0364  4 Cr 2.41
Cr 0.5000 0.5000 0.2007  4 Cr 2.41
Hg 0.0000 0.0000 0.4766  5 Cr 2.89-3.17, 4 Hg 2.97, 4 Ta 3.06

formation energy from the elements: 0.256 eV per atom

3.
Material: Hf2BeNi
Method: DFT, PBE-GGA
State: relaxed

Unit cell a=3.1908 b=3.1908 c=6.1519 alpha=90.00 beta=90.00 gamma=90.00
Closest atoms and distances in Å follow each position.
Positions (direct):
Be 0.5000 0.5000 0.5000  8 Hf 2.72
Hf 0.0000 0.0000 0.7470  4 Be 2.72, 4 Ni 2.74, 1 Hf 3.04
Ni 0.5000 0.5000 0.0000  8 Hf 2.74
Hf 0.0000 0.0000 0.2530  4 Be 2.72, 4 Ni 2.74, 1 Hf 3.04

formation energy from the elements: -0.236 eV per atom